# 1
This record from Alexandria via LeMat-Bulk describes a crystal of SrCa2Sb relaxed with PBEsol. The functional is meta-GGA SCAN.

* E_form (uncorrected): -46 kJ per mole of atoms

a b c (Å): 4.2506 4.2506 7.5619
angles (deg): 90.00 90.00 90.00
Last column: nearest neighbours and their distance in Å.
Fractional coordinates of all 4 atoms:
Sr 0.0000 0.0000 0.0000  8 Ca 3.75, 2 Sb 3.78
Ca 0.5000 0.5000 0.2972  1 Ca 3.07, 4 Sb 3.37
Ca 0.5000 0.5000 0.7028  1 Ca 3.07, 4 Sb 3.37
Sb 0.0000 0.0000 0.5000  8 Ca 3.37

# 2
This record from Alexandria via LeMat-Bulk describes a crystal of Tc2IrRu relaxed with PBEsol. The functional is meta-GGA SCAN.

* formation energy: -0.27 eV per atom

a b c (Å): 2.7082 4.2982 4.7147
angles (deg): 90.00 90.00 90.00
Last column: nearest neighbours and their distance in Å.
Fractional coordinates of all 4 atoms:
Tc 0.0000 0.0000 0.0000  4 Tc 2.65-2.71, 4 Ir 2.66, 4 Ru 2.68-2.75
Tc 0.0000 0.5000 0.3292  4 Tc 2.65-2.71, 4 Ru 2.65, 4 Ir 2.70-2.73
Ir 0.5000 0.5000 0.8331  8 Tc 2.66-2.73, 2 Ru 2.69, 2 Ir 2.71
Ru 0.5000 0.0000 0.4913  8 Tc 2.65-2.75, 2 Ir 2.69, 2 Ru 2.71

# 3
This record from Alexandria via LeMat-Bulk describes a crystal of In2FeRh relaxed with PBEsol. The functional is meta-GGA SCAN.

* formation energy: 0.00 eV per atom

a b c (Å): 2.9847 2.9847 7.7454
angles (deg): 90.00 90.00 90.00
Last column: nearest neighbours and their distance in Å.
Fractional coordinates of all 4 atoms:
In 0.0000 0.0000 0.0000  4 Fe 2.77, 4 In 2.98
In 0.5000 0.5000 0.3494  4 Rh 2.79, 4 In 2.98
Fe 0.5000 0.5000 0.7680  4 Rh 2.54, 4 In 2.77
Rh 0.0000 0.0000 0.5850  4 Fe 2.54, 4 In 2.79

# 4
This record from Alexandria via LeMat-Bulk describes a crystal of ZnFeNi2 relaxed with PBEsol. The functional is meta-GGA SCAN.

* formation energy: -0.14 eV per atom

a b c (Å): 5.1748 6.7810 2.5416
angles (deg): 90.00 90.00 90.00
Last column: nearest neighbours and their distance in Å.
Fractional coordinates of all 8 atoms:
Zn 0.0000 0.0000 0.0000  8 Ni 2.48, 2 Zn 2.54, 2 Fe 2.59
Zn 0.5000 0.5000 0.0000  8 Ni 2.48, 2 Zn 2.54, 2 Fe 2.59
Fe 0.0000 0.5000 0.0000  8 Ni 2.48, 2 Fe 2.54, 2 Zn 2.59
Fe 0.5000 0.0000 0.0000  8 Ni 2.48, 2 Fe 2.54, 2 Zn 2.59
Ni 0.2500 0.2500 0.5000  4 Fe 2.48, 4 Zn 2.48, 4 Ni 2.54-2.59
Ni 0.2500 0.7500 0.5000  4 Fe 2.48, 4 Zn 2.48, 4 Ni 2.54-2.59
Ni 0.7500 0.2500 0.5000  4 Fe 2.48, 4 Zn 2.48, 4 Ni 2.54-2.59
Ni 0.7500 0.7500 0.5000  4 Fe 2.48, 4 Zn 2.48, 4 Ni 2.54-2.59

# 5
This record from Alexandria via LeMat-Bulk describes a crystal of TlZnRe relaxed with PBEsol. The functional is meta-GGA SCAN.

* formation energy: 0.91 eV per atom

a b c (Å): 4.5556 4.5556 2.7965
angles (deg): 90.00 90.00 120.00
Last column: nearest neighbours and their distance in Å.
Fractional coordinates of all 3 atoms:
Tl 0.0000 0.0000 0.0000  3 Zn 2.73, 2 Tl 2.80, 6 Re 2.93-3.04
Zn 0.3333 0.6667 0.2625  3 Tl 2.73, 3 Re 2.74, 2 Zn 2.80
Re 0.6667 0.3333 0.5422  3 Zn 2.74, 2 Re 2.80, 6 Tl 2.93-3.04

# 6
This record from Alexandria via LeMat-Bulk describes a crystal of Ho3Si6Pd20 relaxed with PBEsol. The functional is meta-GGA SCAN.

* E_form (uncorrected): -87 kJ per mole of atoms

a b c (Å): 8.5664 8.5664 8.5664
angles (deg): 60.00 60.00 60.00
Last column: nearest neighbours and their distance in Å.
Fractional coordinates of all 29 atoms:
Ho 0.0000 0.0000 0.0000  12 Pd 2.96, 6 Si 3.24
Ho 0.2500 0.2500 0.2500  4 Pd 2.79
Ho 0.7500 0.7500 0.7500  4 Pd 2.79
Si 0.2675 0.2675 0.7325  8 Pd 2.39-2.44
Si 0.2675 0.7325 0.2675  8 Pd 2.39-2.44
Si 0.2675 0.7325 0.7325  8 Pd 2.39-2.44
Si 0.7325 0.2675 0.2675  8 Pd 2.39-2.44
Si 0.7325 0.2675 0.7325  8 Pd 2.39-2.44
Si 0.7325 0.7325 0.2675  8 Pd 2.39-2.44
Pd 0.0000 0.0000 0.3456  2 Si 2.39, 1 Pd 2.64
Pd 0.0000 0.0000 0.6544  2 Si 2.39, 1 Pd 2.64
Pd 0.0000 0.3456 0.0000  2 Si 2.39, 1 Pd 2.64
Pd 0.0000 0.3456 0.6544  2 Si 2.39, 1 Pd 2.64
Pd 0.0000 0.6544 0.0000  2 Si 2.39, 1 Pd 2.64
Pd 0.0000 0.6544 0.3456  2 Si 2.39, 1 Pd 2.64
Pd 0.1492 0.6169 0.6169  3 Si 2.44
Pd 0.3456 0.0000 0.0000  2 Si 2.39, 1 Pd 2.64
Pd 0.3456 0.0000 0.6544  2 Si 2.39, 1 Pd 2.64
Pd 0.3456 0.6544 0.0000  2 Si 2.39, 1 Pd 2.64
Pd 0.3831 0.3831 0.3831  3 Si 2.44
Pd 0.3831 0.3831 0.8508  3 Si 2.44
Pd 0.3831 0.8508 0.3831  3 Si 2.44
Pd 0.6169 0.1492 0.6169  3 Si 2.44
Pd 0.6169 0.6169 0.1492  3 Si 2.44
Pd 0.6169 0.6169 0.6169  3 Si 2.44
Pd 0.6544 0.0000 0.0000  2 Si 2.39, 1 Pd 2.64
Pd 0.6544 0.0000 0.3456  2 Si 2.39, 1 Pd 2.64
Pd 0.6544 0.3456 0.0000  2 Si 2.39, 1 Pd 2.64
Pd 0.8508 0.3831 0.3831  3 Si 2.44

Number 1: size of the total moment 0.00 μB per cell. Number 2: size of the total moment 0.00 μB per cell. Number 3: size of the total moment 3.56 μB per cell. Number 4: size of the total moment 7.64 μB per cell. Number 5: size of the total moment 0.00 μB per cell. Number 6: size of the total moment 0.00 μB per cell.